(1)
A relaxed structure of Ac2TiSi2N6. Source: the Alexandria database, functional PBE.

POSCAR file:
```
Ac2TiSi2N6
1.0
5.684 0.000 0.000
2.842 4.923 0.000
2.842 1.641 5.461
N Ac Si Ti
6 2 2 1
direct
0.244 0.244 0.758
0.756 0.247 0.242
0.753 0.244 0.758
0.247 0.756 0.242
0.244 0.753 0.758
0.756 0.756 0.242
0.783 0.783 0.652
0.217 0.217 0.348
0.416 0.416 0.753
0.584 0.584 0.247
0.000 0.000 0.000
```

## Properties
Uncorrected formation energy = -1059.8 meV per atom
Spin magnetization = 0.000 μB per atom



(2)
A relaxed structure of Ac3TiSi2N6. Source: the Alexandria database, functional PBE.

POSCAR file:
```
Ac3TiSi2N6
1.0
5.708 0.000 0.000
-2.854 4.944 0.000
0.000 0.000 6.688
Si N Ac Ti
2 6 3 1
direct
0.333 0.667 0.210
0.667 0.333 0.790
0.830 0.660 0.687
0.170 0.340 0.313
0.340 0.170 0.687
0.830 0.170 0.687
0.170 0.830 0.313
0.660 0.830 0.313
0.333 0.667 0.656
0.000 0.000 0.000
0.667 0.333 0.344
0.000 0.000 0.500
```

## Properties
Uncorrected formation energy = -1180.4 meV per atom
Spin magnetization = 0.000 μB per atom



(3)
A relaxed structure of Ac3TmSi2N6. Source: the Alexandria database, functional PBE.

POSCAR file:
```
Ac3TmSi2N6
1.0
5.923 0.000 0.000
-2.961 5.129 0.000
0.000 0.000 6.818
N Ac Tm Si
6 3 1 2
direct
0.825 0.650 0.707
0.650 0.825 0.293
0.175 0.350 0.293
0.175 0.825 0.293
0.350 0.175 0.707
0.825 0.175 0.707
0.000 0.000 0.000
0.667 0.333 0.341
0.333 0.667 0.659
0.000 0.000 0.500
0.333 0.667 0.211
0.667 0.333 0.789
```

## Properties
Uncorrected formation energy = -1161.2 meV per atom
Spin magnetization = 0.122 μB per atom



(4)
A relaxed structure of AcY2SiN4. Source: the Alexandria database, functional PBE.

POSCAR file:
```
AcY2SiN4
1.0
3.472 0.000 0.000
-1.736 5.903 0.000
0.000 0.000 11.601
N Ac Si Y
8 2 2 4
direct
0.264 0.527 0.372
0.000 0.000 0.000
0.399 0.798 0.750
0.736 0.473 0.872
0.601 0.202 0.250
0.264 0.527 0.128
0.736 0.473 0.628
0.000 0.000 0.500
0.087 0.174 0.750
0.913 0.826 0.250
0.179 0.358 0.250
0.821 0.642 0.750
0.632 0.263 0.457
0.632 0.263 0.043
0.368 0.737 0.957
0.368 0.737 0.543
```

## Properties
Uncorrected formation energy = -1327.7 meV per atom
Spin magnetization = 0.000 μB per atom



(5)
A relaxed structure of Ac2ZrSi2N6. Source: the Alexandria database, functional PBE.

POSCAR file:
```
Ac2ZrSi2N6
1.0
5.776 0.000 0.000
2.888 5.002 0.000
2.888 1.667 5.685
N Si Zr Ac
6 2 1 2
direct
0.248 0.749 0.254
0.749 0.749 0.254
0.749 0.248 0.254
0.251 0.752 0.746
0.251 0.251 0.746
0.752 0.251 0.746
0.582 0.582 0.254
0.418 0.418 0.746
0.000 0.000 0.000
0.786 0.786 0.642
0.214 0.214 0.358
```

## Properties
Uncorrected formation energy = -1129.5 meV per atom
Spin magnetization = 0.000 μB per atom



(6)
A relaxed structure of Ac3ZrSi2N6. Source: the Alexandria database, functional PBE.

POSCAR file:
```
Ac3ZrSi2N6
1.0
5.829 0.000 0.000
-2.915 5.048 0.000
0.000 0.000 6.791
Ac N Si Zr
3 6 2 1
direct
0.333 0.667 0.656
0.000 0.000 0.000
0.667 0.333 0.344
0.174 0.826 0.305
0.826 0.174 0.695
0.348 0.174 0.695
0.826 0.652 0.695
0.652 0.826 0.305
0.174 0.348 0.305
0.333 0.667 0.203
0.667 0.333 0.797
0.000 0.000 0.500
```

## Properties
Uncorrected formation energy = -1198.3 meV per atom
Spin magnetization = 0.000 μB per atom



(7)
A relaxed structure of AcSm2N. Source: the Alexandria database, functional PBE.

POSCAR file:
```
AcSm2N
1.0
3.339 0.000 0.000
0.000 3.339 0.000
0.000 0.000 8.995
Ac Sm N
1 2 1
direct
0.500 0.500 0.500
0.000 0.000 0.839
0.000 0.000 0.161
0.500 0.500 0.000
```

## Properties
Uncorrected formation energy = -35.0 meV per atom
Spin magnetization = 0.000 μB per atom
Energy above the lowest structure with this stoichiometry = 0.556 eV per atom



(8)
A relaxed structure of AcSm2N. Source: the Alexandria database, functional PBE.

POSCAR file:
```
AcSm2N
1.0
3.620 0.000 0.000
1.810 3.135 0.000
1.810 1.045 10.104
Ac Sm N
1 2 1
direct
0.000 0.000 0.000
0.878 0.878 0.367
0.122 0.122 0.633
0.500 0.500 0.500
```

## Properties
Uncorrected formation energy = -591.3 meV per atom
Spin magnetization = 0.000 μB per atom
Energy above the lowest structure with this stoichiometry = 0.000 eV per atom